## SrCaMo2 (PBE)

Data for SrCaMo2 after structural relaxation.

E above lowest polymorph: 540.0 meV per atom
Total magnetic moment: 0.000 μB/cell
E_form: 1000.3 meV per atom
Crystal system: cubic

a = 7.0761 Å, b = 7.0761 Å, c = 7.0761 Å
α = 90.00°, β = 90.00°, γ = 90.00°
Space group F-43m (No. 216)
Symmetry-distinct sites (fractional):
Sr 0.0000 0.0000 0.0000 (multiplicity 4)
Ca 0.2500 0.2500 0.7500 (multiplicity 4)
Mo 0.0000 0.0000 0.5000 (multiplicity 4)
Mo 0.2500 0.2500 0.2500 (multiplicity 4)